# Co3BiO, optimized geometry, DFT PBE with a Hubbard U
# Final energy ... -22.165 eV/f.u.
# Space group ... Pm-3m, No. 221
# D(E_F) ... 0.5727 states/eV per atom
# Energy relative to the lowest polymorph listed for this composition ... 0.000 eV per atom
data_Co3BiO
_chemical_formula_sum 'Co3 Bi1 O1'
_space_group_name_H-M_alt 'P 1'
_space_group_IT_number 1
_cell_length_a 4.114
_cell_length_b 4.114
_cell_length_c 4.114
_cell_angle_alpha 90.00
_cell_angle_beta 90.00
_cell_angle_gamma 90.00
loop_
_space_group_symop_operation_xyz
'x,y,z'
loop_
_atom_site_label
_atom_site_type_symbol
_atom_site_fract_x
_atom_site_fract_y
_atom_site_fract_z
Co1 Co 0.000 0.000 0.500
Co2 Co 0.000 0.500 0.000
Co3 Co 0.500 0.000 0.000
Bi1 Bi 0.500 0.500 0.500
O1 O 0.000 0.000 0.000